TiReO3 | PBE-GGA | optimized geometry

Computed properties:
E_form (uncorrected): -1010 meV/atom
SG: Pm-3m (221)
magnetization: 2.17 μB per formula unit

a = 3.8860 Å, b = 3.8860 Å, c = 3.8860 Å
α = 90.00°, β = 90.00°, γ = 90.00°
With the nearest neighbours (Å) after each atom.
Element x y z (fractional)
O 0.5000 0.0000 0.0000  2 Re 1.94
Ti 0.5000 0.5000 0.5000  12 O 2.75
Re 0.0000 0.0000 0.0000  6 O 1.94
O 0.0000 0.5000 0.0000  2 Re 1.94
O 0.0000 0.0000 0.5000  2 Re 1.94


TlReO3 | PBE-GGA | optimized geometry

Computed properties:
E_form (uncorrected): 994 meV/atom
SG: Pm-3m (221)
magnetization: 4.52 μB per formula unit

a = 4.1862 Å, b = 4.1862 Å, c = 4.1862 Å
α = 90.00°, β = 90.00°, γ = 90.00°
With the nearest neighbours (Å) after each atom.
Element x y z (fractional)
O 0.0000 0.5000 0.0000  2 Tl 2.09
O 0.5000 0.0000 0.0000  2 Tl 2.09
Re 0.5000 0.5000 0.5000  12 O 2.96
Tl 0.0000 0.0000 0.0000  6 O 2.09
O 0.0000 0.0000 0.5000  2 Tl 2.09


Tl2ReO | PBE-GGA | optimized geometry

Computed properties:
E_form (uncorrected): 819 meV/atom
SG: I-42d (122)
magnetization: 2.59 μB per formula unit

a = 6.8177 Å, b = 6.8177 Å, c = 5.8989 Å
α = 54.70°, β = 54.70°, γ = 90.00°
With the nearest neighbours (Å) after each atom.
Element x y z (fractional)
O 0.2500 0.7500 0.5000  4 Tl 2.33
Tl 0.3750 0.4275 0.7500  2 O 2.33
Tl 0.8750 0.8225 0.7500  2 O 2.33
Tl 0.5725 0.1250 0.2500  2 O 2.33
O 0.5000 0.5000 0.0000  4 Tl 2.33
Re 0.0000 0.0000 0.0000  4 Tl 2.81
Re 0.7500 0.2500 0.5000  4 Tl 2.81
Tl 0.1775 0.6250 0.2500  2 O 2.33


TlRe2O | PBE-GGA | optimized geometry

Computed properties:
E_form (uncorrected): 1517 meV/atom
SG: Fm-3m (225)
magnetization: 0.46 μB per formula unit

a = 4.4197 Å, b = 4.4197 Å, c = 4.4197 Å
α = 60.00°, β = 60.00°, γ = 60.00°
With the nearest neighbours (Å) after each atom.
Element x y z (fractional)
Re 0.2500 0.2500 0.2500  4 O 2.71, 4 Tl 2.71
Tl 0.5000 0.5000 0.5000  8 Re 2.71
O 0.0000 0.0000 0.0000  8 Re 2.71
Re 0.7500 0.7500 0.7500  4 O 2.71, 4 Tl 2.71


TlRe2O6 | PBE-GGA | optimized geometry

Computed properties:
E_form (uncorrected): -1285 meV/atom
SG: C2/m (12)
magnetization: 0.00 μB per formula unit

a = 3.9412 Å, b = 5.3745 Å, c = 8.0002 Å
α = 70.24°, β = 75.74°, γ = 68.49°
With the nearest neighbours (Å) after each atom.
Element x y z (fractional)
O 0.6977 0.6526 0.9519  3 Re 2.04
O 0.7216 0.2338 0.3231  1 Re 1.76
O 0.2784 0.7662 0.6769  1 Re 1.76
O 0.9931 0.1578 0.8560  2 Re 1.94-2.01
O 0.0069 0.8422 0.1440  2 Re 1.94-2.01
O 0.3023 0.3474 0.0481  3 Re 2.04
Tl 0.0000 0.5000 0.5000  6 O 2.82-2.92
Re 0.8306 0.2446 0.0942  2 O 1.76-1.94
Re 0.1694 0.7554 0.9058  2 O 1.76-1.94


TlReO5 | PBE-GGA | optimized geometry

Computed properties:
E_form (uncorrected): -1087 meV/atom
SG: C2/c (15)
magnetization: 0.00 μB per formula unit

a = 5.5427 Å, b = 5.5427 Å, c = 7.5363 Å
α = 70.16°, β = 70.16°, γ = 74.01°
With the nearest neighbours (Å) after each atom.
Element x y z (fractional)
O 0.7122 0.2857 0.0002  1 Re 1.91
O 0.2857 0.7122 0.5002  1 Re 1.91
O 0.7719 0.7689 0.1146  1 Re 1.84
O 0.0004 0.9996 0.7500  2 Re 1.88
Tl 0.5000 0.5000 0.2500  6 O 2.17-2.36
O 0.2878 0.7143 0.9998  1 Re 1.91
Tl 0.5000 0.5000 0.7500  6 O 2.17-2.36
Re 0.0000 0.0000 0.5000  6 O 1.84-1.91
O 0.2281 0.2311 0.8854  1 Re 1.84
O 0.2311 0.2281 0.3854  1 Re 1.84
Re 0.0000 0.0000 0.0000  6 O 1.84-1.91
O 0.7143 0.2878 0.4998  1 Re 1.91
O 0.9996 0.0004 0.2500  2 Re 1.88
O 0.7689 0.7719 0.6146  1 Re 1.84